The following is a PBE-GGA calculation of an optimized crystal structure of Pr2NdCd3Ir2Au, from the Open Quantum Materials Database.

Geometry as POSCAR:
```
Pr2NdCd3Ir2Au
1.0
4.0415 0.0000 0.0000
0.0000 6.7080 3.8768
0.0000 -6.7080 3.8768
Ir Cd Pr Au Nd
2 3 2 1 1
Cartesian
0.0000 -2.2266 3.8732
0.0000 2.2266 3.8732
0.0000 0.0000 5.7373
0.0000 -1.7379 1.0096
0.0000 1.7379 1.0096
2.0207 3.9316 2.2722
2.0207 -3.9316 2.2722
2.0207 0.0000 0.0049
2.0207 0.0000 3.2081
```

Calculated values
SG: Amm2
E_tot in eV/atom: -4.782
Formation energy from the elements in eV/atom: -0.563

=====

The following is a PBE-GGA calculation of an optimized crystal structure of CdTeIrAu, from the Open Quantum Materials Database.

Geometry as POSCAR:
```
CdTeIrAu
1.0
2.9935 2.9862 2.2602
-1.7211 3.8576 2.2680
0.0414 0.1812 4.7909
Ir Au Cd Te
1 1 1 1
Cartesian
0.3285 1.7562 2.3298
0.9854 5.2687 6.9894
0.0000 0.0000 0.0000
0.6569 3.5125 4.6596
```

Calculated values
SG: F-43m
E_tot in eV/atom: -3.683
Excess energy over the best structure of this formula in the dataset in kcal/mol of atoms: 0.00

=====

The following is a PBE-GGA calculation of an optimized crystal structure of KCd6Au4, from the Open Quantum Materials Database.

Geometry as POSCAR:
```
KCd6Au4
1.0
-4.6608 -3.8070 5.2929
1.5516 -3.3522 -7.1124
3.6996 -2.0584 1.7773
Cd Au K
6 4 1
Cartesian
-0.7237 -4.8839 -4.1501
-1.3349 -3.5635 -1.3484
-0.9489 -6.0927 0.8499
-1.5724 -4.7455 3.7083
0.5010 -2.0639 -3.4334
0.3007 -3.2155 1.5811
-2.5900 -3.6554 1.1578
0.3434 -5.9263 -1.6474
2.1199 -4.4752 -3.6648
1.5285 -3.1975 -0.9538
0.0000 0.0000 0.0000
```

Calculated values
SG: P-6m2
E_tot in eV/atom: -2.002

=====

The following is a PBE-GGA calculation of an optimized crystal structure of K2CdAu4S4, from the Open Quantum Materials Database.

Geometry as POSCAR:
```
K2CdAu4S4
1.0
0.0000 7.0822 0.0000
-5.3843 -3.5411 -7.3910
-5.3843 -3.5411 7.3910
Au K S Cd
8 4 8 2
Cartesian
-2.6922 1.7705 3.6955
-2.6922 -1.7705 3.6955
-2.6922 -1.7705 -3.6955
-5.3843 0.0000 5.3729
-5.3843 0.0000 -5.3729
-5.3843 0.0000 2.0180
-2.6922 1.7705 -3.6955
-5.3843 0.0000 -2.0180
-7.0282 -2.3949 0.0000
-9.1249 -5.9360 0.0000
-1.6438 5.9360 0.0000
-3.7405 2.3949 0.0000
-4.1818 -1.9949 -1.9132
-6.5869 1.9949 1.9132
-4.1818 -1.9949 1.9132
-4.1818 1.9949 -5.4778
-6.5869 1.9949 -1.9132
-4.1818 1.9949 5.4778
-6.5869 -1.9949 -5.4778
-6.5869 -1.9949 5.4778
-5.3843 -3.5411 -3.6955
-5.3843 -3.5411 3.6955
```

Calculated values
SG: Ibam
E_tot in eV/atom: -3.553

=====

The following is a PBE-GGA calculation of an optimized crystal structure of KCd2SnAu, from the Open Quantum Materials Database.

Geometry as POSCAR:
```
KCd2SnAu
1.0
-2.4426 5.5428 3.1421
2.2152 6.1979 -1.7999
-2.3781 -5.6534 -2.9908
Cd K Sn Au
2 1 1 1
Cartesian
-2.4666 2.8514 0.4079
-0.1377 3.1790 -2.0630
-0.0006 0.0292 0.0033
-0.0877 4.5318 0.5181
-0.1401 7.2365 0.8273
```

Calculated values
SG: I4mm
E_tot in eV/atom: -2.250

=====

The following is a PBE-GGA calculation of an optimized crystal structure of KZnCdAu2, from the Open Quantum Materials Database.

Geometry as POSCAR:
```
KZnCdAu2
1.0
-2.2935 2.2935 5.8742
2.2935 -2.2935 5.8742
2.2935 2.2935 -5.8742
K Zn Au Cd
1 1 2 1
Cartesian
2.2935 0.0000 2.9371
0.0000 0.0000 5.8742
0.0000 2.2935 4.3194
0.0000 2.2935 1.5548
0.0000 0.0000 0.0000
```

Calculated values
SG: I-4m2
E_tot in eV/atom: -2.190

=====

The following is a PBE-GGA calculation of an optimized crystal structure of LaCd2Au2, from the Open Quantum Materials Database.

Geometry as POSCAR:
```
LaCd2Au2
1.0
-2.1159 2.1159 6.6790
2.1159 -2.1159 6.6790
2.1159 2.1159 -6.6790
La Cd Au
1 2 2
Cartesian
0.0000 0.0000 0.0000
0.0000 2.1159 3.3395
2.1159 0.0000 3.3395
0.0000 0.0000 5.3071
0.0000 0.0000 8.0509
```

Calculated values
SG: I4/mmm
E_tot in eV/atom: -3.202
Formation energy from the elements in eV/atom: -0.552

=====

The following is a PBE-GGA calculation of an optimized crystal structure of LaCdAu2, from the Open Quantum Materials Database.

Geometry as POSCAR:
```
LaCdAu2
1.0
-4.7567 2.9612 2.7665
-2.1061 -6.4427 3.2749
4.7796 1.6970 6.4123
La Au Cd
4 8 4
Cartesian
-1.4992 1.1319 5.5887
0.0732 2.4893 9.2703
-0.5840 -2.9164 6.8650
-2.1565 -4.2738 3.1833
0.9828 0.3807 2.3034
-3.7630 -4.0670 5.9596
-2.9348 -1.5333 4.6717
-2.2374 0.3692 8.8620
0.1543 -2.1538 3.5917
1.6798 2.2824 6.4940
-3.0659 -2.1653 10.1503
0.8516 -0.2513 7.7819
-3.6858 -1.6543 7.3533
1.6027 -0.1303 5.1004
-1.6834 -0.4210 2.4152
-0.3998 -1.3636 10.0384
```

Calculated values
SG: Pnma
E_tot in eV/atom: -3.672
Formation energy from the elements in eV/atom: -0.584

=====

Q: Number 1 is which compound?
A: Pr2NdCd3Ir2Au

=====

Q: Among the records above, which one has the highest E_tot?
A: KCd6Au4

=====

Q: E_tot of number 3 (KCd6Au4)?
A: -2.002 eV/atom